1.
{"formula": "Ac2TlAg3O6", "functional": "GGA-PBE", "state": "optimized geometry", "spacegroup": "No. 12", "e_form_raw_ev_per_fu": -18.5, "magnetic_moment_mub_per_fu": 0.0, "density_g_cm3": 7.38, "energy_ev_per_atom": -5.619, "cell": [[6.545, -0.185, 1.196], [-3.431, 5.577, 1.196], [-0.100, -0.174, 6.684]], "species": ["O", "O", "O", "O", "O", "O", "Ag", "Ag", "Ag", "Ac", "Ac", "Tl"], "fractional_positions": [[0.257, 0.945, 0.172], [0.055, 0.743, 0.828], [0.945, 0.257, 0.172], [0.376, 0.376, 0.828], [0.624, 0.624, 0.172], [0.743, 0.055, 0.828], [0.851, 0.149, 0.500], [0.149, 0.851, 0.500], [0.500, 0.500, 0.500], [0.667, 0.333, 0.000], [0.333, 0.667, 0.000], [0.000, 0.000, 0.000]]}

---

2.
{"formula": "TaVRh6", "functional": "GGA-PBE", "state": "optimized geometry", "spacegroup": "No. 12", "magnetic_moment_mub_per_fu": 0.0, "density_g_cm3": 10.77, "energy_ev_per_atom": -8.086, "e_form_kj_per_mol_atoms": 4.7, "cell": [[4.560, 0.586, 0.128], [0.927, 4.503, 0.128], [1.814, 1.682, 6.634]], "species": ["Rh", "Rh", "Rh", "Rh", "Rh", "Rh", "V", "Ta"], "fractional_positions": [[0.069, 0.546, 0.295], [0.654, 0.654, 0.057], [0.346, 0.346, 0.943], [0.546, 0.069, 0.295], [0.454, 0.931, 0.705], [0.931, 0.454, 0.705], [0.000, 0.000, 0.000], [0.500, 0.500, 0.500]]}

---

3.
{"formula": "NaDyGa2Br6", "functional": "GGA-PBE", "state": "optimized geometry", "spacegroup": "No. 14", "e_form_raw_ev_per_fu": -12.8, "magnetic_moment_mub_per_fu": 0.0, "density_g_cm3": 4.10, "energy_ev_per_atom": -3.477, "cell": [[7.394, 0.000, 0.137], [0.000, 8.119, 0.000], [0.268, 0.000, 10.859]], "species": ["Br", "Br", "Br", "Br", "Br", "Br", "Br", "Br", "Br", "Br", "Br", "Br", "Na", "Na", "Ga", "Ga", "Ga", "Ga", "Dy", "Dy"], "fractional_positions": [[0.817, 0.822, 0.545], [0.635, 0.054, 0.257], [0.674, 0.287, 0.578], [0.826, 0.787, 0.922], [0.865, 0.554, 0.243], [0.183, 0.178, 0.455], [0.135, 0.446, 0.757], [0.683, 0.322, 0.955], [0.365, 0.946, 0.743], [0.326, 0.713, 0.422], [0.174, 0.213, 0.078], [0.317, 0.678, 0.045], [0.500, 0.000, 0.000], [0.000, 0.500, 0.500], [0.020, 0.911, 0.287], [0.480, 0.411, 0.213], [0.520, 0.589, 0.787], [0.980, 0.089, 0.713], [0.500, 0.000, 0.500], [0.000, 0.500, 0.000]]}

---

4.
{"formula": "SbW2I", "functional": "GGA-PBE", "state": "optimized geometry", "spacegroup": "No. 122", "e_form_raw_ev_per_fu": 7.4, "magnetic_moment_mub_per_fu": 2.7, "density_g_cm3": 8.93, "energy_ev_per_atom": -6.049, "cell": [[6.311, 0.000, 0.000], [0.000, 6.311, 0.000], [3.155, 3.155, 5.759]], "species": ["W", "W", "W", "W", "I", "I", "Sb", "Sb"], "fractional_positions": [[0.629, 0.125, 0.250], [0.375, 0.371, 0.750], [0.875, 0.879, 0.750], [0.121, 0.625, 0.250], [0.000, 0.000, 0.000], [0.750, 0.250, 0.500], [0.250, 0.750, 0.500], [0.500, 0.500, 0.000]]}

---

5.
{"formula": "LiTl", "functional": "GGA-PBE", "state": "optimized geometry", "spacegroup": "No. 187", "magnetic_moment_mub_per_fu": 0.0, "density_g_cm3": 7.69, "energy_ev_per_atom": -2.286, "e_form_kj_per_mol_atoms": -14.1, "cell": [[-2.327, 0.825, -2.328], [-0.837, -2.023, 2.594], [-1.178, 3.660, 2.474]], "species": ["Li", "Tl"], "fractional_positions": [[0.000, 0.000, 0.000], [0.667, 0.333, 0.500]]}

---

6.
{"formula": "SrSnHg4", "functional": "GGA-PBE", "state": "optimized geometry", "spacegroup": "No. 216", "magnetic_moment_mub_per_fu": 0.0, "density_g_cm3": 10.09, "energy_ev_per_atom": -1.337, "e_form_kj_per_mol_atoms": -18.2, "cell": [[-3.846, -0.644, 4.780], [2.233, -1.304, 5.601], [-0.136, 4.274, 4.447]], "species": ["Hg", "Hg", "Hg", "Hg", "Sr", "Sn"], "fractional_positions": [[0.625, 0.625, 0.126], [0.126, 0.625, 0.625], [0.625, 0.625, 0.625], [0.625, 0.126, 0.625], [0.000, 0.000, 0.000], [0.250, 0.250, 0.250]]}